No. 1
# Nb4H3S8 meta-GGA SCAN PBEsol geometry
# **D(E_F)**: 1.2 states/eV per cell
# **Energy**: -234.4 eV per formula unit
data_Nb4H3S8
_chemical_formula_sum 'Nb4 H3 S8'
_cell_length_a 3.3075
_cell_length_b 3.3075
_cell_length_c 25.0219
_cell_angle_alpha 90.00
_cell_angle_beta 90.00
_cell_angle_gamma 120.00
_symmetry_space_group_name_H-M 'P -6 m 2'
_symmetry_Int_Tables_number 187
_symmetry_space_group_name_Hall 'P -6 2'
loop_
_atom_site_label
_atom_site_type_symbol
_atom_site_fract_x
_atom_site_fract_y
_atom_site_fract_z
_atom_site_occupancy
Nb1 Nb 0.0000 0.0000 0.0000 1
Nb2 Nb 0.0000 0.0000 0.5000 1
Nb3 Nb 0.3333 0.6667 0.2483 1
H1 H 0.6667 0.3333 0.2482 1
H2 H 0.6667 0.3333 0.5000 1
S1 S 0.0000 0.0000 0.1828 1
S2 S 0.0000 0.0000 0.3138 1
S3 S 0.3333 0.6667 0.0626 1
S4 S 0.3333 0.6667 0.4345 1

No. 2
# NbTeHS meta-GGA SCAN PBEsol geometry
# **Energy**: -86.3 eV per formula unit
data_NbTeHS
_chemical_formula_sum 'Nb3 Te3 H3 S3'
_cell_length_a 3.4338
_cell_length_b 3.4338
_cell_length_c 19.7406
_cell_angle_alpha 90.00
_cell_angle_beta 90.00
_cell_angle_gamma 120.00
_symmetry_space_group_name_H-M 'R 3 m'
_symmetry_Int_Tables_number 160
_symmetry_space_group_name_Hall 'R 3 -2"'
loop_
_atom_site_label
_atom_site_type_symbol
_atom_site_fract_x
_atom_site_fract_y
_atom_site_fract_z
_atom_site_occupancy
Nb1 Nb 0.0000 0.0000 0.0000 1
Te1 Te 0.0000 0.0000 0.5641 1
H1 H 0.0000 0.0000 0.3236 1
S1 S 0.0000 0.0000 0.7452 1